The following is a PBE-GGA calculation of a relaxed structure of Na3Tb3NbO8, from Alexandria via LeMat-Bulk.

abc: 6.794 6.793 6.817
angles: 119.89 90.00 120.00
Last column: magnetic moment on the atom in μB.
Fractional coordinates of all 15 atoms:
1 Na 0.500 0.500 0.000  0.00
2 Tb 0.500 0.500 0.500  0.02
3 Tb 0.000 0.500 0.500  0.02
4 O 0.738 0.476 0.714  0.01
5 O 0.781 0.561 0.304  0.01
6 O 0.242 0.023 0.304  0.01
7 O 0.219 0.439 0.696  0.01
8 O 0.781 0.023 0.304  0.01
9 Tb 0.500 0.000 0.500  0.02
10 O 0.219 0.977 0.696  0.01
11 O 0.262 0.524 0.286  0.01
12 Na 0.000 0.000 0.000  0.00
13 Nb 0.000 0.000 0.500  0.75
14 O 0.758 0.977 0.696  0.01
15 Na 0.000 0.500 0.000  0.00

***

The following is a PBE-GGA calculation of a relaxed structure of Na4TbNb3O12, from Alexandria via LeMat-Bulk.

abc: 7.148 7.148 7.148
angles: 109.47 109.47 109.47
Last column: magnetic moment on the atom in μB.
Fractional coordinates of all 20 atoms:
1 O 0.733 0.733 0.000  0.13
2 O 0.750 0.250 0.500  0.18
3 O 0.000 0.267 0.267  0.13
4 O 0.733 0.000 0.733  0.13
5 O 0.250 0.500 0.750  0.18
6 Nb 0.500 0.000 0.500  -0.07
7 O 0.000 0.733 0.733  0.13
8 O 0.500 0.250 0.750  0.18
9 Nb 0.500 0.500 0.000  -0.07
10 Na 0.500 0.000 0.000  0.00
11 O 0.750 0.500 0.250  0.18
12 O 0.267 0.267 0.000  0.13
13 O 0.500 0.750 0.250  0.18
14 Nb 0.000 0.500 0.500  -0.07
15 Tb 0.000 0.000 0.000  0.00
16 O 0.267 0.000 0.267  0.13
17 O 0.250 0.750 0.500  0.18
18 Na 0.000 0.000 0.500  0.00
19 Na 0.000 0.500 0.000  0.00
20 Na 0.500 0.500 0.500  0.00

***

The following is a PBE-GGA calculation of a relaxed structure of Na3TbTi2Nb2O12, from Alexandria via LeMat-Bulk.

abc: 5.465 5.610 7.775
angles: 90.00 89.90 89.20
Fractional coordinates of all 20 atoms:
1 Tb 0.991 0.936 0.251
2 O 0.719 0.733 0.448
3 O 0.717 0.735 0.051
4 O 0.296 0.309 0.534
5 O 0.073 0.531 0.252
6 Na 0.511 0.461 0.251
7 Nb 0.006 0.476 0.990
8 O 0.203 0.807 0.981
9 Ti 0.007 0.474 0.496
10 O 0.561 0.985 0.753
11 Nb 0.492 0.991 0.510
12 O 0.807 0.212 0.451
13 O 0.199 0.809 0.521
14 Na 0.500 0.522 0.748
15 Na 0.990 0.994 0.753
16 O 0.927 0.500 0.747
17 O 0.302 0.302 0.962
18 O 0.806 0.208 0.049
19 O 0.406 0.034 0.247
20 Ti 0.488 0.981 0.007

***

The following is a PBE-GGA calculation of a relaxed structure of NaNbTc2O8, from Alexandria via LeMat-Bulk.

abc: 5.760 5.760 6.677
angles: 90.00 90.00 120.00
Last column: magnetic moment on the atom in μB.
Fractional coordinates of all 12 atoms:
1 O 0.837 0.674 0.320  0.02
2 Tc 0.667 0.333 0.217  0.30
3 O 0.163 0.326 0.680  0.02
4 O 0.667 0.333 0.956  0.03
5 Tc 0.333 0.667 0.783  0.30
6 O 0.163 0.837 0.680  0.02
7 O 0.326 0.163 0.320  0.02
8 O 0.333 0.667 0.044  0.03
9 Nb 0.000 0.000 0.500  0.02
10 O 0.674 0.837 0.680  0.02
11 O 0.837 0.163 0.320  0.02
12 Na 0.000 0.000 0.000  0.00

***

The following is a PBE-GGA calculation of a relaxed structure of Na2NbTcO6, from Alexandria via LeMat-Bulk.

abc: 3.939 5.580 5.580
angles: 90.00 90.00 90.00
Last column: magnetic moment on the atom in μB.
Fractional coordinates of all 10 atoms:
1 O 0.645 0.754 0.754  0.02
2 Tc 0.645 0.000 0.000  0.31
3 O 0.645 0.246 0.246  0.02
4 O 0.645 0.754 0.246  0.02
5 O 0.145 0.000 0.000  0.00
6 Nb 0.644 0.500 0.500  0.01
7 Na 0.144 0.500 0.000  0.00
8 Na 0.144 0.000 0.500  0.00
9 O 0.145 0.500 0.500  0.01
10 O 0.645 0.246 0.754  0.02

***

The following is a PBE-GGA calculation of a relaxed structure of NaNb2TcO8, from Alexandria via LeMat-Bulk.

abc: 4.802 4.799 6.379
angles: 89.80 89.80 88.24
Last column: magnetic moment on the atom in μB.
Fractional coordinates of all 12 atoms:
1 Nb 0.481 0.481 0.742  0.12
2 O 0.211 0.791 0.211  0.03
3 O 0.791 0.212 0.211  0.03
4 O 0.707 0.707 0.003  0.01
5 O 0.319 0.319 0.499  0.02
6 Tc 0.000 0.000 0.000  1.41
7 O 0.293 0.293 0.997  0.01
8 Nb 0.519 0.519 0.258  0.12
9 O 0.789 0.209 0.789  0.03
10 O 0.681 0.681 0.501  0.02
11 O 0.209 0.788 0.789  0.03
12 Na 0.000 0.000 0.500  0.00

***

The following is a PBE-GGA calculation of a relaxed structure of NaNbTcO6, from Alexandria via LeMat-Bulk.

abc: 5.289 5.289 10.346
angles: 90.00 90.00 120.00
Last column: magnetic moment on the atom in μB.
Fractional coordinates of all 18 atoms:
1 O 0.989 0.374 0.646  0.01
2 O 0.615 0.989 0.354  0.01
3 Tc 0.333 0.667 0.250  0.81
4 O 0.615 0.626 0.146  0.01
5 Nb 0.667 0.333 0.250  0.11
6 O 0.989 0.615 0.854  0.01
7 O 0.626 0.615 0.646  0.01
8 O 0.374 0.989 0.146  0.01
9 Nb 0.333 0.667 0.750  0.11
10 O 0.374 0.385 0.354  0.01
11 Na 0.000 0.000 0.000  0.00
12 O 0.626 0.011 0.854  0.01
13 Na 0.000 0.000 0.500  0.00
14 O 0.385 0.374 0.854  0.01
15 O 0.385 0.011 0.646  0.01
16 O 0.011 0.385 0.146  0.01
17 Tc 0.667 0.333 0.750  0.81
18 O 0.011 0.626 0.354  0.01

***

The following is a PBE-GGA calculation of a relaxed structure of NaNbTe2O8, from Alexandria via LeMat-Bulk.

abc: 4.887 4.887 6.585
angles: 90.00 90.00 87.72
Fractional coordinates of all 12 atoms:
1 Te 0.500 0.500 0.745
2 O 0.324 0.324 0.500
3 O 0.301 0.301 0.000
4 O 0.798 0.202 0.220
5 Nb 0.000 0.000 0.000
6 O 0.699 0.699 0.000
7 O 0.202 0.798 0.220
8 O 0.798 0.202 0.780
9 Na 0.000 0.000 0.500
10 O 0.202 0.798 0.780
11 O 0.676 0.676 0.500
12 Te 0.500 0.500 0.255

***

The following is a PBE-GGA calculation of a relaxed structure of Na2NbTeO6, from Alexandria via LeMat-Bulk.

abc: 4.094 5.686 5.686
angles: 90.00 90.00 90.00
Fractional coordinates of all 10 atoms:
1 O 0.155 0.000 0.000
2 Na 0.082 0.500 0.000
3 O 0.676 0.747 0.747
4 Te 0.651 0.000 0.000
5 O 0.159 0.500 0.500
6 Na 0.082 0.000 0.500
7 Nb 0.612 0.500 0.500
8 O 0.676 0.253 0.253
9 O 0.676 0.253 0.747
10 O 0.676 0.747 0.253

***

The following is a PBE-GGA calculation of a relaxed structure of NaNb3Te4O16, from Alexandria via LeMat-Bulk.

abc: 7.554 6.702 14.445
angles: 78.78 90.00 90.00
Fractional coordinates of all 48 atoms:
1 O 0.250 0.920 0.016
2 Te 0.250 0.421 0.289
3 O 0.561 0.382 0.706
4 O 0.440 0.295 0.000
5 Nb 0.500 0.000 0.000
6 Nb 0.000 0.081 0.727
7 O 0.445 0.785 0.718
8 Nb 0.500 0.919 0.273
9 O 0.750 0.342 0.425
10 Nb 0.000 0.000 0.000
11 O 0.439 0.618 0.294
12 O 0.031 0.052 0.858
13 Te 0.750 0.509 0.001
14 O 0.250 0.658 0.575
15 O 0.750 0.687 0.582
16 O 0.945 0.215 0.282
17 O 0.943 0.124 0.575
18 Te 0.750 0.051 0.503
19 O 0.250 0.006 0.262
20 O 0.250 0.147 0.690
21 O 0.560 0.705 0.000
22 Na 0.500 0.500 0.500
23 O 0.969 0.948 0.142
24 O 0.750 0.853 0.310
25 Te 0.250 0.599 0.719
26 Nb 0.500 0.081 0.727
27 Te 0.750 0.401 0.281
28 O 0.055 0.785 0.718
29 Te 0.250 0.949 0.497
30 O 0.940 0.705 0.000
31 O 0.750 0.994 0.738
32 Nb 0.000 0.919 0.273
33 Te 0.250 0.491 0.999
34 O 0.939 0.382 0.706
35 O 0.061 0.618 0.294
36 O 0.750 0.404 0.129
37 O 0.557 0.124 0.575
38 O 0.750 0.080 0.984
39 O 0.060 0.295 0.000
40 Te 0.750 0.579 0.711
41 O 0.469 0.052 0.858
42 O 0.555 0.215 0.282
43 O 0.057 0.876 0.425
44 O 0.250 0.596 0.871
45 O 0.531 0.948 0.142
46 Na 0.000 0.500 0.500
47 O 0.443 0.876 0.425
48 O 0.250 0.313 0.418

***

The following is a PBE-GGA calculation of a relaxed structure of NaNbTeO6, from Alexandria via LeMat-Bulk.

abc: 5.350 5.350 10.430
angles: 90.00 90.00 120.00
Fractional coordinates of all 18 atoms:
1 O 0.377 0.990 0.145
2 O 0.387 0.010 0.645
3 O 0.010 0.623 0.355
4 Te 0.667 0.333 0.750
5 O 0.623 0.010 0.855
6 O 0.990 0.377 0.645
7 O 0.613 0.623 0.145
8 Na 0.000 0.000 0.500
9 O 0.010 0.387 0.145
10 O 0.377 0.387 0.355
11 Na 0.000 0.000 0.000
12 Nb 0.667 0.333 0.250
13 O 0.623 0.613 0.645
14 O 0.613 0.990 0.355
15 Nb 0.333 0.667 0.750
16 O 0.990 0.613 0.855
17 O 0.387 0.377 0.855
18 Te 0.333 0.667 0.250

***

The following is a PBE-GGA calculation of a relaxed structure of NaNb2TeO8, from Alexandria via LeMat-Bulk.

abc: 4.886 4.887 6.456
angles: 90.77 90.77 87.32
Fractional coordinates of all 12 atoms:
1 O 0.678 0.678 0.503
2 O 0.701 0.700 0.992
3 Te 0.000 0.000 0.000
4 Nb 0.477 0.478 0.260
5 O 0.209 0.786 0.777
6 O 0.322 0.322 0.496
7 Na 0.000 0.000 0.500
8 Nb 0.523 0.522 0.740
9 O 0.214 0.792 0.223
10 O 0.791 0.214 0.223
11 O 0.786 0.208 0.777
12 O 0.299 0.300 0.008

***

The following is a PBE-GGA calculation of a relaxed structure of Na3TmTi2Nb2O12, from Alexandria via LeMat-Bulk.

abc: 5.434 5.605 7.742
angles: 89.99 89.90 88.85
Fractional coordinates of all 20 atoms:
1 O 0.812 0.204 0.056
2 O 0.202 0.807 0.979
3 O 0.562 0.983 0.753
4 Ti 0.485 0.981 0.008
5 Nb 0.005 0.474 0.991
6 O 0.198 0.810 0.522
7 Nb 0.490 0.993 0.509
8 O 0.812 0.208 0.445
9 O 0.078 0.536 0.252
10 O 0.301 0.312 0.535
11 O 0.923 0.494 0.747
12 Na 0.989 0.998 0.753
13 O 0.721 0.734 0.445
14 Na 0.496 0.529 0.748
15 Na 0.511 0.460 0.250
16 O 0.718 0.735 0.054
17 O 0.307 0.305 0.961
18 O 0.394 0.036 0.247
19 Ti 0.005 0.473 0.494
20 Tm 0.990 0.929 0.251

***

The following is a PBE-GGA calculation of a relaxed structure of NaNbTl2O4, from Alexandria via LeMat-Bulk.

abc: 5.779 5.780 6.439
angles: 116.63 116.75 89.96
Fractional coordinates of all 8 atoms:
1 Na 0.986 0.486 0.972
2 Tl 0.236 0.236 0.472
3 O 0.688 0.626 0.688
4 O 0.409 0.782 0.253
5 O 0.000 0.062 0.691
6 O 0.846 0.473 0.255
7 Nb 0.736 0.736 0.472
8 Tl 0.486 0.986 0.972

***

The following is a PBE-GGA calculation of a relaxed structure of Na2Nb2TlO7, from Alexandria via LeMat-Bulk.

abc: 3.985 3.985 10.953
angles: 79.67 79.67 89.97
Fractional coordinates of all 12 atoms:
1 Nb 0.386 0.386 0.220
2 O 0.308 0.308 0.395
3 O 0.097 0.590 0.798
4 O 0.590 0.097 0.798
5 Na 0.206 0.206 0.611
6 Na 0.794 0.794 0.389
7 Nb 0.614 0.614 0.780
8 O 0.410 0.903 0.202
9 O 0.692 0.692 0.605
10 O 0.903 0.410 0.202
11 O 0.500 0.500 0.000
12 Tl 0.000 0.000 0.000

***

The following is a PBE-GGA calculation of a relaxed structure of Na2UNbO6, from Alexandria via LeMat-Bulk.

abc: 4.289 5.827 5.827
angles: 90.00 90.00 90.00
Last column: magnetic moment on the atom in μB.
Fractional coordinates of all 10 atoms:
1 O 0.160 0.500 0.500  -0.03
2 O 0.687 0.760 0.240  -0.02
3 Na 0.050 0.500 0.000  0.00
4 O 0.687 0.240 0.240  -0.02
5 U 0.656 0.500 0.500  1.06
6 O 0.687 0.240 0.760  -0.02
7 Na 0.050 0.000 0.500  0.00
8 Nb 0.604 0.000 0.000  -0.01
9 O 0.687 0.760 0.760  -0.02
10 O 0.177 0.000 0.000  0.00

***

The following is a PBE-GGA calculation of a relaxed structure of NaUNbO6, from Alexandria via LeMat-Bulk.

abc: 5.448 5.448 9.307
angles: 90.00 90.00 120.00
Fractional coordinates of all 18 atoms:
1 O 0.671 0.956 0.878
2 O 0.956 0.671 0.378
3 O 0.716 0.671 0.122
4 Nb 0.000 0.000 0.000
5 O 0.044 0.716 0.878
6 Na 0.333 0.667 0.250
7 O 0.716 0.044 0.378
8 Na 0.667 0.333 0.750
9 O 0.956 0.284 0.122
10 U 0.667 0.333 0.250
11 U 0.333 0.667 0.750
12 O 0.284 0.956 0.622
13 O 0.044 0.329 0.622
14 Nb 0.000 0.000 0.500
15 O 0.329 0.044 0.122
16 O 0.329 0.284 0.378
17 O 0.284 0.329 0.878
18 O 0.671 0.716 0.622

***

Values for VASP energy, eV/atom, ordered as above
-7.1944 -7.2158 -7.9232 -7.6304 -7.2421 -8.0136 -7.5385 -6.2307 -6.3376 -6.9141 -6.6616 -7.2861 -7.9186 -6.2150 -7.0024 -7.9789 -8.4363